K3NaOs2O9 | meta-GGA SCAN | PBEsol geometry

Values from the calculation:
**Crystal system**: hexagonal
**Raw total energy**: -1.231 Ry per atom
**Symmetry**: P6_3/mmc (194)
**D(E_F)**: 0.19 states/eV per atom
**ΔE_f (raw)**: -1.485 eV per atom

Geometry as extended XYZ:
```
30
Lattice="5.980 0.000 0.000 -2.990 5.179 0.000 0.000 0.000 14.358" Properties=species:S:1:pos:R:3 pbc="T T T"
K 0.000 0.000 3.589
K 0.000 0.000 10.768
K 0.000 3.452 1.548
K 0.000 3.452 5.631
K 2.990 1.726 8.727
K 2.990 1.726 12.809
Na 0.000 0.000 0.000
Na 0.000 0.000 7.179
Os 0.000 3.452 9.328
Os 0.000 3.452 12.208
Os 2.990 1.726 2.150
Os 2.990 1.726 5.029
O -1.223 2.746 10.768
O 0.000 1.868 8.483
O 0.000 1.868 13.053
O -1.372 4.244 8.483
O -1.372 4.244 13.053
O 1.618 0.934 1.304
O 1.618 0.934 5.874
O 1.223 2.746 10.768
O 0.000 4.864 10.768
O 2.990 0.314 3.589
O 1.767 2.432 3.589
O 1.372 4.244 8.483
O 1.372 4.244 13.053
O 4.362 0.934 1.304
O 4.362 0.934 5.874
O 2.990 3.310 1.304
O 2.990 3.310 5.874
O 4.213 2.432 3.589
```